Density functional theory data (PBE-GGA) for a geometry-optimized Al2InFeAs structure.

Cell: 5.0463 4.9446 5.0463 Å, 90.00 90.00 90.00°
With the nearest neighbours (Å) after each atom.
Element x y z (fractional)
Fe 0.0000 0.5000 0.0000  2 In 2.47
As 0.5000 0.5000 0.5000  8 Al 3.53, 4 Fe 3.57
Al 0.5000 0.0000 0.0000  2 In 2.52
In 0.0000 0.0000 0.0000  2 Fe 2.47, 4 Al 2.52
Al 0.0000 0.0000 0.5000  2 In 2.52

Summary:
spin magnetization = 3.37 Bohr magnetons per cell
calculated volume = 25.18 A^3/atom
DFT formation energy = 1.167 eV/atom
DFT total energy = -17.502 eV per formula unit

***

Density functional theory data (PBE-GGA) for a geometry-optimized La6Al4Fe9As structure.

Cell: 8.1754 8.1754 13.0777 Å, 108.21 108.21 90.00°
With the nearest neighbours (Å) after each atom.
Element x y z (fractional)
Al 0.7117 0.2117 0.1861  6 Fe 2.53-2.62, 1 Al 2.74
La 0.9801 0.4801 0.6185  1 Fe 3.14, 3 Al 3.32-3.34, 1 La 3.33, 2 As 3.34
Al 0.7883 0.5255 0.8139  6 Fe 2.53-2.62, 1 Al 2.74
La 0.6384 0.1384 0.6185  1 Fe 3.14, 3 Al 3.32-3.34, 1 La 3.33, 2 As 3.34
La 0.6069 0.6069 0.2138  8 Fe 3.09-3.24, 4 Al 3.28, 1 As 3.36
Fe 0.6186 0.7677 0.8863  6 Fe 2.43-2.67, 3 Al 2.53-2.59
Fe 0.2677 0.1186 0.8863  6 Fe 2.43-2.67, 3 Al 2.53-2.59
Al 0.2883 0.7883 0.8139  6 Fe 2.53-2.62, 1 Al 2.74
Al 0.2117 0.4745 0.1861  6 Fe 2.53-2.62, 1 Al 2.74
Fe 0.2892 0.4311 0.0000  8 Fe 2.43-2.58, 2 Al 2.62
La 0.3616 0.8616 0.3815  1 Fe 3.14, 3 Al 3.32-3.34, 1 La 3.33, 2 As 3.34
La 0.1069 0.1069 0.2138  8 Fe 3.09-3.24, 4 Al 3.28, 1 As 3.36
Fe 0.5000 0.0000 0.0000  8 Fe 2.43, 4 Al 2.58
Fe 0.3814 0.2323 0.1137  6 Fe 2.43-2.67, 3 Al 2.53-2.59
Fe 0.8814 0.3814 0.1137  6 Fe 2.43-2.67, 3 Al 2.53-2.59
Fe 0.4311 0.7108 0.0000  8 Fe 2.43-2.58, 2 Al 2.62
Fe 0.9311 0.7892 0.0000  8 Fe 2.43-2.58, 2 Al 2.62
La 0.3931 0.3931 0.7862  8 Fe 3.09-3.24, 4 Al 3.28, 1 As 3.36
Fe 0.1186 0.6186 0.8863  6 Fe 2.43-2.67, 3 Al 2.53-2.59
Fe 0.0000 0.5000 0.0000  8 Fe 2.43, 4 Al 2.58
Al 0.5255 0.0255 0.8139  6 Fe 2.53-2.62, 1 Al 2.74
Fe 0.2323 0.7323 0.1137  6 Fe 2.43-2.67, 3 Al 2.53-2.59
Fe 0.7677 0.2677 0.8863  6 Fe 2.43-2.67, 3 Al 2.53-2.59
Al 0.4745 0.9745 0.1861  6 Fe 2.53-2.62, 1 Al 2.74
La 0.8616 0.0199 0.3815  1 Fe 3.14, 3 Al 3.32-3.34, 1 La 3.33, 2 As 3.34
La 0.8931 0.8931 0.7862  8 Fe 3.09-3.24, 4 Al 3.28, 1 As 3.36
Fe 0.7892 0.0689 0.0000  8 Fe 2.43-2.58, 2 Al 2.62
Fe 0.0689 0.2108 0.0000  8 Fe 2.43-2.58, 2 Al 2.62
La 0.1384 0.9801 0.6185  1 Fe 3.14, 3 Al 3.32-3.34, 1 La 3.33, 2 As 3.34
Al 0.0255 0.2883 0.8139  6 Fe 2.53-2.62, 1 Al 2.74
Fe 0.5689 0.2892 0.0000  8 Fe 2.43-2.58, 2 Al 2.62
Al 0.9745 0.7117 0.1861  6 Fe 2.53-2.62, 1 Al 2.74
As 0.7500 0.7500 0.5000  10 La 3.34-3.36
La 0.5199 0.3616 0.3815  1 Fe 3.14, 3 Al 3.32-3.34, 1 La 3.33, 2 As 3.34
Fe 0.7108 0.5689 0.0000  8 Fe 2.43-2.58, 2 Al 2.62
Fe 0.7323 0.8814 0.1137  6 Fe 2.43-2.67, 3 Al 2.53-2.59
La 0.4801 0.6384 0.6185  1 Fe 3.14, 3 Al 3.32-3.34, 1 La 3.33, 2 As 3.34
La 0.0199 0.5199 0.3815  1 Fe 3.14, 3 Al 3.32-3.34, 1 La 3.33, 2 As 3.34
Fe 0.2108 0.9311 0.0000  8 Fe 2.43-2.58, 2 Al 2.62
As 0.2500 0.2500 0.5000  10 La 3.34-3.36

Summary:
spin magnetization = 31.56 Bohr magnetons per cell
calculated volume = 19.60 A^3/atom
DFT formation energy = -0.331 eV/atom
DFT total energy = -131.965 eV per formula unit

***

Density functional theory data (PBE-GGA) for a geometry-optimized La6Al3Fe10As structure.

Cell: 12.8062 12.7940 8.1568 Å, 71.50 71.34 37.16°
With the nearest neighbours (Å) after each atom.
Element x y z (fractional)
Fe 0.4771 0.7026 0.5229  7 Fe 2.38-2.59
Al 0.9735 0.2105 0.7895  6 Fe 2.51-2.61, 1 Al 2.74
La 0.6065 0.6065 0.8935  10 Fe 3.00-3.32, 2 Al 3.27, 1 As 3.30
Fe 0.7901 0.2134 0.4307  9 Fe 2.41-2.55, 1 Al 2.58
Fe 0.8769 0.2371 0.1231  7 Fe 2.43-2.54, 2 Al 2.61
La 0.3960 0.3960 0.1040  8 Fe 2.97-3.23, 4 Al 3.26-3.28, 1 As 3.31
Al 0.0282 0.7875 0.2125  6 Fe 2.52-2.60, 1 Al 2.78
Fe 0.2134 0.7901 0.5658  9 Fe 2.41-2.55, 1 Al 2.58
Fe 0.9999 0.9999 0.0001  8 Fe 2.36-2.45, 4 Al 2.51-2.52
Al 0.7875 0.0282 0.9718  6 Fe 2.52-2.60, 1 Al 2.78
Al 0.5262 0.2904 0.4738  6 Fe 2.54-2.59, 1 Al 2.71
La 0.3666 0.0018 0.6334  2 Fe 2.91-3.19
Fe 0.3824 0.7285 0.2715  8 Fe 2.34-2.51, 1 Al 2.55
Fe 0.7713 0.1215 0.2287  6 Fe 2.36-2.53, 3 Al 2.54-2.60
Fe 0.9375 0.0634 0.7064  8 Fe 2.45-2.65, 2 Al 2.57-2.58
Fe 0.7285 0.3824 0.6176  8 Fe 2.34-2.51, 1 Al 2.55
La 0.8960 0.8960 0.6040  8 Fe 2.97-3.23, 4 Al 3.26-3.28, 1 As 3.31
Fe 0.7073 0.2936 0.9366  8 Fe 2.45-2.65, 2 Al 2.57-2.58
La 0.1354 0.4810 0.5190  1 Fe 3.17, 2 As 3.28, 3 Al 3.30-3.33, 1 La 3.49
Fe 0.5693 0.4342 0.2099  9 Fe 2.41-2.55, 1 Al 2.58
La 0.1065 0.1065 0.3935  10 Fe 3.00-3.32, 2 Al 3.27, 1 As 3.30
Fe 0.1215 0.7713 0.8785  6 Fe 2.36-2.53, 3 Al 2.54-2.60
La 0.4810 0.1354 0.8646  1 Fe 3.17, 2 As 3.28, 3 Al 3.30-3.33, 1 La 3.49
Fe 0.4342 0.5693 0.7866  9 Fe 2.41-2.55, 1 Al 2.58
Fe 0.2371 0.8769 0.7629  7 Fe 2.43-2.54, 2 Al 2.61
La 0.9859 0.6400 0.0141  1 Fe 3.05, 3 Al 3.25-3.26, 2 As 3.34, 1 La 3.38
Fe 0.6220 0.2716 0.7284  6 Fe 2.39-2.52, 3 Al 2.53-2.59
Al 0.2904 0.5262 0.7096  6 Fe 2.54-2.59, 1 Al 2.71
Fe 0.0634 0.9375 0.2927  8 Fe 2.45-2.65, 2 Al 2.57-2.58
La 0.0018 0.3666 0.9982  2 Fe 2.91-3.19
As 0.7511 0.7511 0.7489  10 La 3.28-3.45
La 0.6400 0.9859 0.3600  1 Fe 3.05, 3 Al 3.25-3.26, 2 As 3.34, 1 La 3.38
Fe 0.7026 0.4771 0.2974  7 Fe 2.38-2.59
Fe 0.2936 0.7073 0.0625  8 Fe 2.45-2.65, 2 Al 2.57-2.58
As 0.2511 0.2511 0.2489  10 La 3.28-3.45
Al 0.2105 0.9735 0.0265  6 Fe 2.51-2.61, 1 Al 2.74
Fe 0.5024 0.5024 0.4976  10 Fe 2.34-2.41, 2 Al 2.54
La 0.5236 0.8400 0.1600  3 Fe 2.89-3.07
La 0.8400 0.5236 0.4764  3 Fe 2.89-3.07
Fe 0.2716 0.6220 0.3780  6 Fe 2.39-2.52, 3 Al 2.53-2.59

Summary:
spin magnetization = 1.27 Bohr magnetons per cell
calculated volume = 19.01 A^3/atom
DFT formation energy = -0.256 eV/atom
DFT total energy = -135.192 eV per formula unit